[1]
Computed, not measured: Pr2NdNpSb4 after structural relaxation at the GGA-PBE level of DFT.

a b c (Å): 4.5094 7.8125 7.8125
angles (deg): 109.35 90.00 90.00
Closest atoms and distances in Å follow each position.
Fractional coordinates of all 8 atoms:
Pr 0.5000 0.0000 0.5000  6 Sb 3.24
Pr 0.0000 0.5000 0.5000  6 Sb 3.20
Nd 0.0000 0.0000 0.0000  6 Sb 3.18
Np 0.5000 0.5000 0.0000  6 Sb 3.13-3.15
Sb 0.5000 0.2529 0.2443  1 Np 3.13, 2 Nd 3.18, 3 Pr 3.20-3.24
Sb 0.5000 0.7471 0.7557  1 Np 3.13, 2 Nd 3.18, 3 Pr 3.20-3.24
Sb 0.0000 0.2566 0.7580  2 Np 3.15, 1 Nd 3.18, 3 Pr 3.20-3.24
Sb 0.0000 0.7434 0.2420  2 Np 3.15, 1 Nd 3.18, 3 Pr 3.20-3.24

Values from the calculation:
- E (eV/cell) = -51.222
- uncorrected formation energy (eV per atom) = -0.93
- density of states at the Fermi level (states/eV/f.u.) = 11.9



[2]
Computed, not measured: PrNd2NpSb4 after structural relaxation at the GGA-PBE level of DFT.

a b c (Å): 4.5012 7.7989 7.7996
angles (deg): 109.35 90.00 90.00
Closest atoms and distances in Å follow each position.
Fractional coordinates of all 8 atoms:
Pr 0.0000 0.0000 0.0000  6 Sb 3.19
Nd 0.5000 0.0000 0.5000  6 Sb 3.22-3.23
Nd 0.0000 0.5000 0.5000  6 Sb 3.17-3.18
Np 0.5000 0.5000 0.0000  6 Sb 3.14-3.15
Sb 0.5000 0.2550 0.2478  1 Np 3.14, 3 Nd 3.18-3.23, 2 Pr 3.19
Sb 0.5000 0.7450 0.7522  1 Np 3.14, 3 Nd 3.18-3.23, 2 Pr 3.19
Sb 0.0000 0.2565 0.7551  2 Np 3.15, 3 Nd 3.17-3.22, 1 Pr 3.19
Sb 0.0000 0.7435 0.2449  2 Np 3.15, 3 Nd 3.17-3.22, 1 Pr 3.19

Values from the calculation:
- E (eV/cell) = -51.197
- uncorrected formation energy (eV per atom) = -0.93
- density of states at the Fermi level (states/eV/f.u.) = 11.8



[3]
Computed, not measured: NdNpPt4 after structural relaxation at the GGA-PBE level of DFT.

a b c (Å): 5.4826 5.4826 5.4826
angles (deg): 60.00 60.00 60.00
Closest atoms and distances in Å follow each position.
Fractional coordinates of all 6 atoms:
Np 0.2500 0.2500 0.2500  12 Pt 3.21, 4 Nd 3.36
Nd 0.0000 0.0000 0.0000  12 Pt 3.22, 4 Np 3.36
Pt 0.6246 0.6246 0.1261  6 Pt 2.73-2.75
Pt 0.6246 0.1261 0.6246  6 Pt 2.73-2.75
Pt 0.6246 0.6246 0.6246  6 Pt 2.73-2.75
Pt 0.1261 0.6246 0.6246  6 Pt 2.73-2.75

Values from the calculation:
- formation enthalpy at 0 K (meV/atom) = -802
- E (eV/cell) = -46.686
- density of states at the Fermi level (states/eV/f.u.) = 13.2



[4]
Computed, not measured: NdNpPt6 after structural relaxation at the GGA-PBE level of DFT.

a b c (Å): 5.3445 5.3445 5.3445
angles (deg): 90.00 90.00 90.00
Closest atoms and distances in Å follow each position.
Fractional coordinates of all 8 atoms:
Nd 0.5000 0.5000 0.5000  12 Pt 3.00
Np 0.0000 0.0000 0.0000  12 Pt 2.98
Pt 0.5000 0.7531 0.0000  2 Pt 2.64-2.71
Pt 0.7531 0.0000 0.5000  2 Pt 2.64-2.71
Pt 0.0000 0.5000 0.2469  2 Pt 2.64-2.71
Pt 0.2469 0.0000 0.5000  2 Pt 2.64-2.71
Pt 0.5000 0.2469 0.0000  2 Pt 2.64-2.71
Pt 0.0000 0.5000 0.7531  2 Pt 2.64-2.71

Values from the calculation:
- formation enthalpy at 0 K (meV/atom) = -502
- E (eV/cell) = -57.968
- density of states at the Fermi level (states/eV/f.u.) = 10.3